# 1
DFT (PBEsol) results for an optimized crystal structure of SiHg2Ru.

The space group is Imm2 (No. 44) and the conventional cell measures 3.599, 4.237 and 9.277 Å, with angles of 90.00, 90.00 and 90.00 degrees. The inequivalent atoms are Si at (0.000, 0.000, 0.000), Hg at (0.000, 0.000, 0.572), Hg at (0.000, 0.500, 0.786) and Ru at (0.000, 0.500, 0.348).

The uncorrected formation energy is 0.24 eV/atom.

# 2
DFT (PBEsol) results for an optimized crystal structure of Li2ZrFe.

The space group is P4/mmm (No. 123) and the conventional cell measures 3.510, 3.510 and 4.898 Å, with angles of 90.00, 90.00 and 90.00 degrees. The inequivalent atoms are Li at (0.000, 0.500, 0.000), Zr at (0.000, 0.000, 0.500) and Fe at (0.500, 0.500, 0.500).

The energy above the most stable polymorph in this dataset comes out at 0 meV per atom. The formation enthalpy at 0 K comes out at 0.218 eV/atom.

# 3
DFT (PBEsol) results for an optimized crystal structure of Al2SnHg.

The space group is Fm-3m (No. 225) and the conventional cell measures 6.958, 6.958 and 6.958 Å, with angles of 90.00, 90.00 and 90.00 degrees. The inequivalent atoms are Al at (0.250, 0.250, 0.250), Sn at (0.000, 0.000, 0.000) and Hg at (0.000, 0.000, 0.500).

The energy above the most stable polymorph in this dataset comes out at 0 meV per atom. The formation enthalpy at 0 K comes out at 0.169 eV/atom.

# 4
DFT (PBEsol) results for an optimized crystal structure of SbOsRu.

The space group is Imm2 (No. 44) and the conventional cell measures 2.926, 3.984 and 8.142 Å, with angles of 90.00, 90.00 and 90.00 degrees. The inequivalent atoms are Sb at (0.000, 0.000, 0.000), Os at (0.000, 0.000, 0.677) and Ru at (0.000, 0.000, 0.322).

The energy above the most stable polymorph in this dataset comes out at 40 meV per atom. The uncorrected formation energy is 0.54 eV/atom.

# 5
DFT (PBEsol) results for an optimized crystal structure of ReW.

The space group is Pmmn (No. 59, origin choice 2) and the conventional cell measures 2.754, 3.979 and 5.582 Å, with angles of 90.00, 90.00 and 90.00 degrees. The inequivalent atoms are Re at (0.250, 0.250, 0.121) and W at (0.250, 0.250, 0.631).

The energy above the most stable polymorph in this dataset comes out at 112 meV per atom. The formation enthalpy at 0 K comes out at 0.238 eV/atom.

# 6
DFT (PBEsol) results for an optimized crystal structure of Cu3BBr.

The space group is Pm-3m (No. 221) and the conventional cell measures 4.080, 4.080 and 4.080 Å, with angles of 90.00, 90.00 and 90.00 degrees. The inequivalent atoms are Cu at (0.000, 0.000, 0.500), B at (0.000, 0.000, 0.000) and Br at (0.500, 0.500, 0.500).

The uncorrected formation energy is 0.57 eV/atom.

# 7
DFT (PBEsol) results for an optimized crystal structure of Cd2TcMo.

The space group is I4/mmm (No. 139) and the conventional cell measures 3.827, 3.827 and 9.080 Å, with angles of 90.00, 90.00 and 90.00 degrees. The inequivalent atoms are Cd at (0.000, 0.500, 0.250), Tc at (0.000, 0.000, 0.000) and Mo at (0.000, 0.000, 0.500).

The energy above the most stable polymorph in this dataset comes out at 130 meV per atom. The formation enthalpy at 0 K comes out at 0.527 eV/atom.

# 8
DFT (PBEsol) results for an optimized crystal structure of CoRuNF2.

The space group is P4/mmm (No. 123) and the conventional cell measures 3.910, 3.910 and 3.558 Å, with angles of 90.00, 90.00 and 90.00 degrees. The inequivalent atoms are Co at (0.000, 0.000, 0.000), Ru at (0.500, 0.500, 0.500), N at (0.000, 0.000, 0.500) and F at (0.000, 0.500, 0.000).

The uncorrected formation energy is 0.19 eV/atom.